--- one ---
The following is a DFT calculation (GGA-PBE) of an optimized crystal structure of PrDyAgAu.

Results
For the density of states at the Fermi level, the calculation gives 0.476 states/eV per atom. The symmetry is P4mm.

a = 3.6518 Å, b = 3.6518 Å, c = 7.5104 Å
α = 90.00°, β = 90.00°, γ = 90.00°
With the nearest neighbours (Å) after each atom.
Sites, in units of the cell vectors:
Ag: 0.5000 0.5000 0.5839  4 Dy 3.12, 4 Pr 3.32, 1 Au 3.39
Pr: 0.0000 0.0000 0.8615  4 Au 3.29, 4 Ag 3.32, 4 Pr 3.65, 1 Dy 3.67
Dy: 0.0000 0.0000 0.3502  4 Au 3.06, 4 Ag 3.12
Au: 0.5000 0.5000 0.1324  4 Dy 3.06, 4 Pr 3.29, 1 Ag 3.39

--- two ---
The following is a DFT calculation (GGA-PBE) of an optimized crystal structure of PrDyAgAu.

Results
For the density of states at the Fermi level, the calculation gives 1.019 states/eV per atom. The symmetry is F-43m.

a = 5.2201 Å, b = 5.2201 Å, c = 5.2201 Å
α = 60.00°, β = 60.00°, γ = 60.00°
With the nearest neighbours (Å) after each atom.
Sites, in units of the cell vectors:
Pr: 0.5000 0.5000 0.5000  4 Au 3.20, 4 Ag 3.20
Dy: 0.0000 0.0000 0.0000  4 Ag 3.20, 4 Au 3.20
Au: 0.7500 0.7500 0.7500  4 Dy 3.20, 4 Pr 3.20
Ag: 0.2500 0.2500 0.2500  4 Dy 3.20, 4 Pr 3.20

What is the stability order? It is one, two, from most stable to least stable.

--- one ---
The following is a DFT calculation (GGA-PBE) of an optimized crystal structure of DyAgRhAu.

Results
For the density of states at the Fermi level, the calculation gives 0.831 states/eV per atom. The symmetry is F-43m.

a = 4.7661 Å, b = 4.7661 Å, c = 4.7661 Å
α = 60.00°, β = 60.00°, γ = 60.00°
With the nearest neighbours (Å) after each atom.
Sites, in units of the cell vectors:
Rh: 0.7500 0.7500 0.7500  4 Ag 2.92, 4 Dy 2.92
Dy: 0.0000 0.0000 0.0000  4 Au 2.92, 4 Rh 2.92
Au: 0.2500 0.2500 0.2500  4 Dy 2.92, 4 Ag 2.92
Ag: 0.5000 0.5000 0.5000  4 Rh 2.92, 4 Au 2.92

--- two ---
The following is a DFT calculation (GGA-PBE) of an optimized crystal structure of DyAgRhAu.

Results
For the density of states at the Fermi level, the calculation gives 0.194 states/eV per atom. The symmetry is Pmmm.

a = 4.0368 Å, b = 4.1095 Å, c = 4.4681 Å
α = 90.00°, β = 90.00°, γ = 90.00°
With the nearest neighbours (Å) after each atom.
Sites, in units of the cell vectors:
Rh: 0.5000 0.0000 0.5000  4 Dy 2.88, 4 Ag 3.01, 4 Au 3.04
Ag: 0.0000 0.0000 0.0000  4 Au 2.88, 4 Rh 3.01, 4 Dy 3.04
Dy: 0.0000 0.5000 0.5000  4 Rh 2.88, 4 Au 3.01, 4 Ag 3.04
Au: 0.5000 0.5000 0.0000  4 Ag 2.88, 4 Dy 3.01, 4 Rh 3.04

What is the stability order? It is two, one, from most stable to least stable.

--- one ---
The following is a DFT calculation (GGA-PBE) of an optimized crystal structure of DyYAgAu.

Results
For the density of states at the Fermi level, the calculation gives 0.653 states/eV per atom. The symmetry is P4mm.

a = 3.6099 Å, b = 3.6099 Å, c = 7.2794 Å
α = 90.00°, β = 90.00°, γ = 90.00°
With the nearest neighbours (Å) after each atom.
Sites, in units of the cell vectors:
Dy: 0.5000 0.5000 0.1124  4 Au 3.10, 4 Ag 3.14
Y: 0.5000 0.5000 0.6023  4 Au 3.13, 4 Ag 3.17
Au: 0.0000 0.0000 0.3530  4 Dy 3.10, 4 Y 3.13
Ag: 0.0000 0.0000 0.8602  4 Dy 3.14, 4 Y 3.17

--- two ---
The following is a DFT calculation (GGA-PBE) of an optimized crystal structure of DyYAgAu.

Results
For the density of states at the Fermi level, the calculation gives 0.688 states/eV per atom. The symmetry is F-43m.

a = 5.1167 Å, b = 5.1167 Å, c = 5.1167 Å
α = 60.00°, β = 60.00°, γ = 60.00°
With the nearest neighbours (Å) after each atom.
Sites, in units of the cell vectors:
Y: 0.0000 0.0000 0.0000  4 Ag 3.13, 4 Au 3.13
Ag: 0.2500 0.2500 0.2500  4 Dy 3.13, 4 Y 3.13
Dy: 0.5000 0.5000 0.5000  4 Au 3.13, 4 Ag 3.13
Au: 0.7500 0.7500 0.7500  4 Dy 3.13, 4 Y 3.13

What is the stability order? It is one, two, from most stable to least stable.

--- one ---
The following is a DFT calculation (GGA-PBE) of an optimized crystal structure of ErAgAu4.

Results
For the density of states at the Fermi level, the calculation gives 0.251 states/eV per atom. The symmetry is P2_1/m.

a = 4.7078 Å, b = 6.0850 Å, c = 8.8636 Å
α = 69.88°, β = 90.00°, γ = 90.00°
With the nearest neighbours (Å) after each atom.
Sites, in units of the cell vectors:
Ag: 0.7500 0.1292 0.2391  2 Er 3.05, 12 Au 3.06-3.23
Ag: 0.2500 0.8708 0.7609  2 Er 3.05, 12 Au 3.06-3.23
Au: 0.2500 0.4499 0.0851  4 Au 2.74-2.99, 2 Ag 3.06
Au: 0.7500 0.0421 0.9150  4 Au 2.74-2.99
Au: 0.7500 0.5501 0.9149  4 Au 2.74-2.99, 2 Ag 3.06
Au: 0.2500 0.2837 0.4144  4 Au 2.74-2.90
Au: 0.7500 0.1927 0.5863  4 Au 2.74-2.90
Au: 0.2500 0.9579 0.0850  4 Au 2.74-2.99
Au: 0.2500 0.8073 0.4137  4 Au 2.74-2.90
Au: 0.7500 0.7163 0.5856  4 Au 2.74-2.90
Er: 0.2500 0.3812 0.7399  2 Ag 3.05, 12 Au 3.11-3.25
Er: 0.7500 0.6188 0.2601  2 Ag 3.05, 12 Au 3.11-3.25

--- two ---
The following is a DFT calculation (GGA-PBE) of an optimized crystal structure of ErAgAu4.

Results
For the density of states at the Fermi level, the calculation gives 0.961 states/eV per atom. The symmetry is F-43m.

a = 5.5251 Å, b = 5.5251 Å, c = 5.5251 Å
α = 60.00°, β = 60.00°, γ = 60.00°
With the nearest neighbours (Å) after each atom.
Sites, in units of the cell vectors:
Au: 0.1257 0.6248 0.6248  6 Au 2.76-2.77
Au: 0.6248 0.1257 0.6248  6 Au 2.76-2.77
Au: 0.6248 0.6248 0.6248  6 Au 2.76-2.77
Au: 0.6248 0.6248 0.1257  6 Au 2.76-2.77
Ag: 0.2500 0.2500 0.2500  12 Au 3.24, 4 Er 3.38
Er: 0.0000 0.0000 0.0000  12 Au 3.24, 4 Ag 3.38

--- three ---
The following is a DFT calculation (GGA-PBE) of an optimized crystal structure of ErAgAu4.

Results
For the density of states at the Fermi level, the calculation gives 0.262 states/eV per atom. The symmetry is P2/m.

a = 5.1516 Å, b = 5.1518 Å, c = 9.5565 Å
α = 104.93°, β = 104.95°, γ = 91.96°
With the nearest neighbours (Å) after each atom.
Sites, in units of the cell vectors:
Au: 0.9179 0.9180 0.3373  5 Au 2.89-2.96, 4 Ag 2.95-2.96, 1 Er 2.99
Au: 0.8372 0.3365 0.1741  1 Ag 2.89, 5 Au 2.95-3.09, 4 Er 3.00-3.01
Au: 0.5812 0.5819 0.6627  5 Au 2.89-2.96, 4 Ag 2.95-2.96, 1 Er 2.99
Au: 0.3362 0.8364 0.1741  1 Ag 2.89, 5 Au 2.95-3.09, 4 Er 3.00-3.01
Au: 0.0821 0.0820 0.6627  5 Au 2.89-2.96, 4 Ag 2.95-2.96, 1 Er 2.99
Au: 0.1628 0.6635 0.8259  1 Ag 2.89, 5 Au 2.95-3.09, 4 Er 3.00-3.01
Au: 0.6638 0.1636 0.8259  1 Ag 2.89, 5 Au 2.95-3.09, 4 Er 3.00-3.01
Au: 0.4188 0.4181 0.3373  5 Au 2.89-2.96, 4 Ag 2.95-2.96, 1 Er 2.99
Ag: 0.0000 0.5000 0.5000  10 Au 2.89-2.96
Ag: 0.5000 0.0000 0.5000  10 Au 2.89-2.96
Er: 0.2502 0.2500 0.0000  10 Au 2.99-3.01
Er: 0.7498 0.7500 0.0000  10 Au 2.99-3.01

What is the stability order? It is three, one, two, from most stable to least stable.

--- one ---
The following is a DFT calculation (GGA-PBE) of an optimized crystal structure of ErAg2Au.

Results
For the density of states at the Fermi level, the calculation gives 0.456 states/eV per atom. The symmetry is I4/mmm.

a = 8.7312 Å, b = 6.0482 Å, c = 6.0486 Å
α = 90.00°, β = 90.00°, γ = 90.00°
With the nearest neighbours (Å) after each atom.
Sites, in units of the cell vectors:
Au: 0.4375 0.2501 0.9998  4 Er 3.02, 8 Ag 3.05-3.06
Au: 0.4375 0.7501 0.5002  4 Er 3.02, 8 Ag 3.05-3.06
Au: 0.9375 0.7499 0.0002  4 Er 3.02, 8 Ag 3.05-3.06
Au: 0.9375 0.2499 0.4998  4 Er 3.02, 8 Ag 3.05-3.06
Ag: 0.1876 0.4999 0.7500  4 Ag 3.02, 4 Au 3.05-3.06, 4 Er 3.06
Ag: 0.1876 0.9999 0.7500  4 Ag 3.02, 4 Au 3.05-3.06, 4 Er 3.06
Ag: 0.1874 0.9997 0.2500  4 Ag 3.02, 4 Au 3.05-3.06, 4 Er 3.05-3.06
Ag: 0.6874 0.0003 0.7500  4 Ag 3.02, 4 Au 3.05-3.06, 4 Er 3.05-3.06
Ag: 0.6874 0.5003 0.7500  4 Ag 3.02, 4 Au 3.05-3.06, 4 Er 3.05-3.06
Ag: 0.1874 0.4997 0.2500  4 Ag 3.02, 4 Au 3.05-3.06, 4 Er 3.05-3.06
Ag: 0.6876 0.0001 0.2500  4 Ag 3.02, 4 Au 3.05-3.06, 4 Er 3.06
Ag: 0.6876 0.5001 0.2500  4 Ag 3.02, 4 Au 3.05-3.06, 4 Er 3.06
Er: 0.4374 0.2500 0.4998  4 Au 3.02, 8 Ag 3.05-3.06
Er: 0.9374 0.7500 0.5002  4 Au 3.02, 8 Ag 3.05-3.06
Er: 0.4374 0.7500 0.0002  4 Au 3.02, 8 Ag 3.05-3.06
Er: 0.9374 0.2500 0.9998  4 Au 3.02, 8 Ag 3.05-3.06

--- two ---
The following is a DFT calculation (GGA-PBE) of an optimized crystal structure of ErAg2Au.

Results
For the density of states at the Fermi level, the calculation gives 0.558 states/eV per atom. The symmetry is Cmcm.

a = 4.1711 Å, b = 5.4449 Å, c = 8.0786 Å
α = 90.00°, β = 90.00°, γ = 112.54°
With the nearest neighbours (Å) after each atom.
Sites, in units of the cell vectors:
Au: 0.2365 0.4733 0.7500  6 Ag 2.81-2.82, 3 Er 2.93-2.97
Au: 0.7635 0.5267 0.2500  6 Ag 2.81-2.82, 3 Er 2.93-2.97
Ag: 0.3698 0.7391 0.4436  1 Ag 2.78, 3 Au 2.81-2.82
Ag: 0.6302 0.2609 0.9436  1 Ag 2.78, 3 Au 2.81-2.82
Ag: 0.3698 0.7391 0.0564  1 Ag 2.78, 3 Au 2.81-2.82
Ag: 0.6302 0.2609 0.5564  1 Ag 2.78, 3 Au 2.81-2.82
Er: 0.9414 0.8826 0.7500  3 Au 2.93-2.97, 4 Ag 3.23
Er: 0.0586 0.1174 0.2500  3 Au 2.93-2.97, 4 Ag 3.23

--- three ---
The following is a DFT calculation (GGA-PBE) of an optimized crystal structure of ErAg2Au.

Results
For the density of states at the Fermi level, the calculation gives 0.590 states/eV per atom. The symmetry is Fm-3m.

a = 4.8403 Å, b = 4.8403 Å, c = 4.8403 Å
α = 60.00°, β = 60.00°, γ = 60.00°
With the nearest neighbours (Å) after each atom.
Sites, in units of the cell vectors:
Au: 0.0000 0.0000 0.0000  8 Ag 2.96
Er: 0.5000 0.5000 0.5000  8 Ag 2.96
Ag: 0.2500 0.2500 0.2500  4 Er 2.96, 4 Au 2.96
Ag: 0.7500 0.7500 0.7500  4 Er 2.96, 4 Au 2.96

What is the stability order? It is one, two, three, from most stable to least stable.

--- one ---
The following is a DFT calculation (GGA-PBE) of an optimized crystal structure of Er2AgAu2.

Results
For the density of states at the Fermi level, the calculation gives 0.690 states/eV per atom. The symmetry is C2/c.

a = 5.7862 Å, b = 7.8320 Å, c = 8.4296 Å
α = 137.35°, β = 110.07°, γ = 90.00°
With the nearest neighbours (Å) after each atom.
Sites, in units of the cell vectors:
Er: 0.4848 0.3383 0.6926  6 Au 3.03-3.19, 2 Ag 3.07-3.09
Er: 0.5152 0.6617 0.3074  6 Au 3.03-3.19, 2 Ag 3.07-3.09
Er: 0.7922 0.1617 0.3074  6 Au 3.03-3.19, 2 Ag 3.07-3.09
Er: 0.2078 0.8383 0.6926  6 Au 3.03-3.19, 2 Ag 3.07-3.09
Ag: 0.7627 0.2500 0.0000  4 Au 2.86, 4 Er 3.07-3.09
Ag: 0.2373 0.7500 0.0000  4 Au 2.86, 4 Er 3.07-3.09
Au: 0.7440 0.7281 0.7386  2 Au 2.83-3.13, 2 Ag 2.86, 5 Er 3.03-3.15
Au: 0.0054 0.7719 0.2614  2 Au 2.83-3.13, 2 Ag 2.86, 5 Er 3.03-3.15
Au: 0.2560 0.2719 0.2614  2 Au 2.83-3.13, 2 Ag 2.86, 5 Er 3.03-3.15
Au: 0.9946 0.2281 0.7386  2 Au 2.83-3.13, 2 Ag 2.86, 5 Er 3.03-3.15

--- two ---
The following is a DFT calculation (GGA-PBE) of an optimized crystal structure of Er2AgAu2.

Results
For the density of states at the Fermi level, the calculation gives 0.646 states/eV per atom. The symmetry is P4/mbm.

a = 3.6669 Å, b = 7.8697 Å, c = 7.8697 Å
α = 90.00°, β = 90.00°, γ = 90.00°
With the nearest neighbours (Å) after each atom.
Sites, in units of the cell vectors:
Au: 0.0000 0.6315 0.1315  6 Er 2.89-3.00, 1 Au 2.93, 2 Ag 3.08
Au: 0.0000 0.3685 0.8685  6 Er 2.89-3.00, 1 Au 2.93, 2 Ag 3.08
Au: 0.0000 0.1315 0.3685  6 Er 2.89-3.00, 1 Au 2.93, 2 Ag 3.08
Au: 0.0000 0.8685 0.6315  6 Er 2.89-3.00, 1 Au 2.93, 2 Ag 3.08
Er: 0.5000 0.3320 0.1680  6 Au 2.89-3.00
Er: 0.5000 0.6680 0.8320  6 Au 2.89-3.00
Er: 0.5000 0.1680 0.6680  6 Au 2.89-3.00
Er: 0.5000 0.8320 0.3320  6 Au 2.89-3.00
Ag: 0.0000 0.5000 0.5000  4 Au 3.08
Ag: 0.0000 0.0000 0.0000  4 Au 3.08

What is the stability order? It is two, one, from most stable to least stable.